Record 1
## CsPmSe2 (GGA-PBE)

Data for a relaxed structure of CsPmSe2.

Results
The formation energy without anion corrections comes out at -1.732 eV/atom. The density of states at the Fermi level is 0.00 states/eV/f.u. For the calculated total energy, the calculation gives -4.88 eV per atom. For the total magnetization, the calculation gives 0.000 Bohr magnetons per cell.

Geometry as CIF:
```
data_CsPmSe2
_chemical_formula_sum 'Cs3 Pm3 Se6'
_space_group_name_H-M_alt 'R -3 m'
_space_group_IT_number 166
_space_group_name_Hall '-R 3 2"'
_cell_length_a 4.3738
_cell_length_b 4.3738
_cell_length_c 25.2097
_cell_angle_alpha 90.00
_cell_angle_beta 90.00
_cell_angle_gamma 120.00
loop_
_atom_site_label
_atom_site_fract_x
_atom_site_fract_y
_atom_site_fract_z
Cs1 0.0000 0.0000 0.0000
Pm1 0.0000 0.0000 0.5000
Se1 0.0000 0.0000 0.2298
```

---

Record 2
## CsPmSe2 (GGA-PBE)

Data for a relaxed structure of CsPmSe2.

Results
The formation energy without anion corrections comes out at -1.716 eV/atom. The density of states at the Fermi level is 0.00 states/eV/f.u. For the calculated total energy, the calculation gives -4.86 eV per atom. For the total magnetization, the calculation gives 0.000 Bohr magnetons per cell.

Geometry as CIF:
```
data_CsPmSe2
_chemical_formula_sum 'Cs3 Pm3 Se6'
_space_group_name_H-M_alt 'R 3 m'
_space_group_IT_number 160
_space_group_name_Hall 'R 3 -2"'
_cell_length_a 4.3586
_cell_length_b 4.3586
_cell_length_c 25.4792
_cell_angle_alpha 90.00
_cell_angle_beta 90.00
_cell_angle_gamma 120.00
loop_
_atom_site_label
_atom_site_fract_x
_atom_site_fract_y
_atom_site_fract_z
Cs1 0.0000 0.0000 0.0000
Pm1 0.0000 0.0000 0.1689
Se1 0.0000 0.0000 0.5653
Se2 0.0000 0.0000 0.7726
```

---

Record 3
## CsPmSe2 (GGA-PBE)

Data for a relaxed structure of CsPmSe2.

Results
The formation energy without anion corrections comes out at -1.497 eV/atom. The density of states at the Fermi level is 0.48 states/eV/f.u. For the calculated total energy, the calculation gives -4.64 eV per atom. For the total magnetization, the calculation gives 0.000 Bohr magnetons per cell.

Geometry as CIF:
```
data_CsPmSe2
_chemical_formula_sum 'Cs1 Pm1 Se2'
_space_group_name_H-M_alt 'P 4/m m m'
_space_group_IT_number 123
_space_group_name_Hall '-P 4 2'
_cell_length_a 3.7775
_cell_length_b 3.7775
_cell_length_c 8.5431
_cell_angle_alpha 90.00
_cell_angle_beta 90.00
_cell_angle_gamma 90.00
loop_
_atom_site_label
_atom_site_fract_x
_atom_site_fract_y
_atom_site_fract_z
Cs1 0.0000 0.0000 0.0000
Pm1 0.0000 0.0000 0.5000
Se1 0.5000 0.5000 0.3043
```

---

Q: Among the records above, which one has the lowest calculated total energy?
A: number 1

---

What did the second record say?
## CsPmSe2 (GGA-PBE)

Data for a relaxed structure of CsPmSe2.

Results
The formation energy without anion corrections comes out at -1.716 eV/atom. The density of states at the Fermi level is 0.00 states/eV/f.u. For the calculated total energy, the calculation gives -4.86 eV per atom. For the total magnetization, the calculation gives 0.000 Bohr magnetons per cell.

Geometry as CIF:
```
data_CsPmSe2
_chemical_formula_sum 'Cs3 Pm3 Se6'
_space_group_name_H-M_alt 'R 3 m'
_space_group_IT_number 160
_space_group_name_Hall 'R 3 -2"'
_cell_length_a 4.3586
_cell_length_b 4.3586
_cell_length_c 25.4792
_cell_angle_alpha 90.00
_cell_angle_beta 90.00
_cell_angle_gamma 120.00
loop_
_atom_site_label
_atom_site_fract_x
_atom_site_fract_y
_atom_site_fract_z
Cs1 0.0000 0.0000 0.0000
Pm1 0.0000 0.0000 0.1689
Se1 0.0000 0.0000 0.5653
Se2 0.0000 0.0000 0.7726
```

---

Repeat the first record exactly.
## CsPmSe2 (GGA-PBE)

Data for a relaxed structure of CsPmSe2.

Results
The formation energy without anion corrections comes out at -1.732 eV/atom. The density of states at the Fermi level is 0.00 states/eV/f.u. For the calculated total energy, the calculation gives -4.88 eV per atom. For the total magnetization, the calculation gives 0.000 Bohr magnetons per cell.

Geometry as CIF:
```
data_CsPmSe2
_chemical_formula_sum 'Cs3 Pm3 Se6'
_space_group_name_H-M_alt 'R -3 m'
_space_group_IT_number 166
_space_group_name_Hall '-R 3 2"'
_cell_length_a 4.3738
_cell_length_b 4.3738
_cell_length_c 25.2097
_cell_angle_alpha 90.00
_cell_angle_beta 90.00
_cell_angle_gamma 120.00
loop_
_atom_site_label
_atom_site_fract_x
_atom_site_fract_y
_atom_site_fract_z
Cs1 0.0000 0.0000 0.0000
Pm1 0.0000 0.0000 0.5000
Se1 0.0000 0.0000 0.2298
```

---

Q: The highest calculated total energy belongs to which entry?
A: number 3